SrCuMo2 | PBE-GGA | optimized geometry

```
SrCuMo2
1.0
3.062 0.000 0.000
0.000 5.242 0.000
-0.599 0.000 4.858
Sr Cu Mo
1 1 2
direct
0.000 0.000 0.000 Sr
0.500 0.000 0.500 Cu
0.375 0.500 0.733 Mo
0.625 0.500 0.267 Mo
```

Results
Energy ... -23.94 eV/cell
E_form ... 84.4 kJ/mol of atoms



Hf4N3 | PBE-GGA | optimized geometry

```
Hf4N3
1.0
-2.264 2.264 4.561
2.264 -2.264 4.561
2.264 2.264 -4.561
Hf N
4 3
direct
0.000 0.500 0.500 Hf
0.239 0.239 0.000 Hf
0.500 0.000 0.500 Hf
0.761 0.761 0.000 Hf
0.000 0.000 0.000 N
0.250 0.750 0.500 N
0.750 0.250 0.500 N
```

Results
Energy ... -75.38 eV/cell
Raw formation energy ... -1.51 eV/atom



Na3U2AgS6 | PBE-GGA | optimized geometry

```
Na3U2AgS6
1.0
3.437 -5.940 0.000
3.437 5.940 0.000
-2.296 0.000 6.682
Na U Ag S
3 2 1 6
direct
0.000 0.000 0.000 Na
0.341 0.659 0.000 Na
0.659 0.341 0.000 Na
0.167 0.833 0.500 U
0.833 0.167 0.500 U
0.500 0.500 0.500 Ag
0.072 0.423 0.271 S
0.226 0.226 0.729 S
0.423 0.072 0.271 S
0.577 0.928 0.729 S
0.774 0.774 0.271 S
0.928 0.577 0.729 S
```

Results
Energy ... -68.58 eV/cell
Raw formation energy ... -1.20 eV/atom